1.
Below is a relaxed structure of Ta11Rh4, with properties calculated at the GGA-PBE level.

Properties
The calculated volume comes out at 523 Å³/cell. As for the space group: P4_2/mnm. As for the crystal system: tetragonal. The value obtained for the distance to the lowest polymorph of the same formula is 0.97 eV per formula unit. The calculation puts the density at 15267 kg/m3.

Cell lengths 9.971, 9.971, 5.256 Å; angles 90.00, 90.00, 90.00 degrees
Fractional positions:
1 Ta 0.320 0.320 0.752
2 Rh 0.539 0.140 0.000
3 Ta 0.775 0.434 0.500
4 Ta 0.725 0.934 0.000
5 Ta 0.000 0.000 0.000
6 Ta 0.066 0.275 0.000
7 Rh 0.039 0.360 0.500
8 Rh 0.461 0.860 0.000
9 Ta 0.180 0.820 0.252
10 Rh 0.860 0.461 0.000
11 Ta 0.606 0.394 0.000
12 Ta 0.680 0.680 0.248
13 Ta 0.566 0.225 0.500
14 Ta 0.275 0.066 0.000
15 Ta 0.394 0.606 0.000
16 Ta 0.434 0.775 0.500
17 Ta 0.180 0.820 0.748
18 Ta 0.106 0.106 0.500
19 Ta 0.820 0.180 0.252
20 Rh 0.640 0.961 0.500
21 Ta 0.820 0.180 0.748
22 Rh 0.961 0.640 0.500
23 Rh 0.140 0.539 0.000
24 Ta 0.320 0.320 0.248
25 Ta 0.500 0.500 0.500
26 Ta 0.934 0.725 0.000
27 Rh 0.360 0.039 0.500
28 Ta 0.894 0.894 0.500
29 Ta 0.680 0.680 0.752
30 Ta 0.225 0.566 0.500

---

2.
Below is a relaxed structure of Cr2NiAg, with properties calculated at the GGA-PBE level.

Properties
The calculated volume comes out at 51 Å³/cell. As for the space group: I4/mmm. As for the crystal system: tetragonal. The value obtained for the distance to the lowest polymorph of the same formula is 0.90 eV per formula unit. The calculation puts the density at 8730 kg/m3.

Cell lengths 4.777, 4.777, 4.777 Å; angles 136.25, 136.25, 63.59 degrees
Last column: magnetic moment on the atom in μB.
Fractional positions:
1 Ni 0.250 0.750 0.500  0.10
2 Cr 0.000 0.000 0.000  0.29
3 Cr 0.500 0.500 0.000  0.29
4 Ag 0.750 0.250 0.500  0.02

---

3.
Below is a relaxed structure of Nd7SmEr3, with properties calculated at the GGA-PBE level.

Properties
The calculated volume comes out at 384 Å³/cell. As for the space group: Immm. As for the crystal system: orthorhombic. The value obtained for the distance to the lowest polymorph of the same formula is 1.13 eV per formula unit. The calculation puts the density at 7186 kg/m3.

Cell lengths 5.920, 8.580, 8.580 Å; angles 83.54, 110.18, 110.18 degrees
Fractional positions:
1 Er 0.500 0.000 0.000
2 Er 0.000 0.203 0.797
3 Er 0.000 0.797 0.203
4 Sm 0.500 0.500 0.500
5 Nd 0.000 0.500 0.500
6 Nd 0.306 0.597 0.014
7 Nd 0.208 0.208 0.208
8 Nd 0.694 0.403 0.986
9 Nd 0.792 0.792 0.792
10 Nd 0.306 0.014 0.597
11 Nd 0.694 0.986 0.403

---

Energy in eV for the cell shown, matching the order above: -327.449, -25.849, -49.354